*a*
An optimized crystal structure of SrP2Br. Source: the Alexandria database, functional PBE-GGA.

Calculated values
The value obtained for the spin magnetization is 0.000 Bohr magnetons per cell. The calculation puts the density at 3.10 g/cm³. The density of states at the Fermi level comes out at 0.96 states/eV/cell. The crystal system is monoclinic.

```
SrP2Br
1.0
4.599 -0.046 0.014
3.136 3.364 0.014
2.370 1.017 7.870
P Sr Br
2 1 1
direct
0.933 0.933 0.134
0.287 0.287 0.227
0.521 0.521 0.461
0.759 0.759 0.679
```


*b*
An optimized crystal structure of SrP2Br. Source: the Alexandria database, functional PBE-GGA.

Calculated values
The value obtained for the spin magnetization is 0.000 Bohr magnetons per cell. The calculation puts the density at 3.90 g/cm³. The density of states at the Fermi level comes out at 6.86 states/eV/cell. The crystal system is cubic.

```
SrP2Br
1.0
0.000 3.654 3.654
3.654 0.000 3.654
3.654 3.654 0.000
P Br Sr
2 1 1
direct
0.750 0.750 0.750
0.250 0.250 0.250
0.000 0.000 0.000
0.500 0.500 0.500
```


Q: Which of them is the least stable? A: *b*.


*a*
An optimized crystal structure of TaCr2Tc. Source: the Alexandria database, functional PBE-GGA.

Calculated values
The value obtained for the spin magnetization is 0.094 Bohr magnetons per cell. The calculation puts the density at 11.26 g/cm³. The density of states at the Fermi level comes out at 2.36 states/eV/cell. The crystal system is cubic.

```
TaCr2Tc
1.0
4.307 0.001 0.000
-0.002 4.307 0.000
-2.152 -2.154 3.045
Tc Cr Ta
1 2 1
direct
0.750 0.250 0.500
0.250 0.750 0.500
0.000 0.000 0.000
0.500 0.500 0.000
```


*b*
An optimized crystal structure of TaCr2Tc. Source: the Alexandria database, functional PBE-GGA.

Calculated values
The value obtained for the spin magnetization is 0.001 Bohr magnetons per cell. The calculation puts the density at 11.26 g/cm³. The density of states at the Fermi level comes out at 3.49 states/eV/cell. The crystal system is monoclinic.

```
TaCr2Tc
1.0
-2.594 -4.240 0.229
2.016 1.697 4.289
-2.221 0.857 1.277
Tc Cr Ta
1 2 1
direct
0.500 0.000 0.500
0.000 0.500 0.500
0.000 0.000 0.000
0.500 0.500 0.000
```


Q: Which of them is the least stable? A: *b*.


*a*
An optimized crystal structure of ZrMn2Br. Source: the Alexandria database, functional PBE-GGA.

Calculated values
The value obtained for the spin magnetization is 2.800 Bohr magnetons per cell. The calculation puts the density at 6.44 g/cm³. The density of states at the Fermi level comes out at 3.75 states/eV/cell. The crystal system is monoclinic.

```
ZrMn2Br
1.0
3.117 0.000 0.000
0.000 3.133 0.010
0.000 1.272 7.420
Mn Br Zr
2 1 1
direct
0.500 0.230 0.232
0.000 0.804 0.063
0.500 0.938 0.740
0.000 0.528 0.466
```


*b*
An optimized crystal structure of ZrMn2Br. Source: the Alexandria database, functional PBE-GGA.

Calculated values
The value obtained for the spin magnetization is 6.594 Bohr magnetons per cell. The calculation puts the density at 6.29 g/cm³. The density of states at the Fermi level comes out at 3.62 states/eV/cell. The crystal system is monoclinic.

```
ZrMn2Br
1.0
5.726 -0.005 0.005
-2.946 4.910 0.005
0.828 1.461 2.643
Zr Br Mn
1 1 2
direct
0.500 0.000 0.500
0.000 0.500 0.500
0.000 0.000 0.000
0.500 0.500 0.000
```


Q: Which of them is the least stable? A: *b*.